Entry 1:
A plane-wave DFT calculation with PBE-GGA was carried out for a geometry-optimized Ba2LaCu structure.

Cell lengths 8.2031, 8.2031, 8.2031 Å; angles 90.00, 90.00, 90.00 degrees
Space group F-43m (No. 216)
Inequivalent atoms, fractional coordinates:
Ba 0.0000 0.0000 0.0000 [4 per cell]
Ba 0.2500 0.2500 0.2500 [4 per cell]
La 0.2500 0.2500 0.7500 [4 per cell]
Cu 0.0000 0.0000 0.5000 [4 per cell]

Values from the calculation:
M_tot, μB/atom: 0.001
Formation enthalpy at 0 K, meV per atom: 380

***

Entry 2:
A plane-wave DFT calculation with PBE-GGA was carried out for a geometry-optimized MgVCd2Cl structure.

Cell lengths 5.4419, 5.4419, 4.2880 Å; angles 90.00, 90.00, 90.00 degrees
Space group P4/mmm (No. 123)
Inequivalent atoms, fractional coordinates:
Mg 0.0000 0.0000 0.0000 [1 per cell]
V 0.5000 0.5000 0.0000 [1 per cell]
Cd 0.0000 0.5000 0.5000 [2 per cell]
Cl 0.5000 0.5000 0.5000 [1 per cell]

Values from the calculation:
M_tot, μB/atom: 0.026
E_form (uncorrected), kcal/mol of atoms: 14.70

***

Entry 3:
A plane-wave DFT calculation with PBE-GGA was carried out for a geometry-optimized Ac3Sm2Y6 structure.

Cell lengths 6.4181, 11.1326, 11.7799 Å; angles 90.00, 100.54, 90.00 degrees
Space group C2/m (No. 12)
Inequivalent atoms, fractional coordinates:
Ac 0.0000 0.0000 0.0000 [2 per cell]
Ac 0.0000 0.3350 0.0000 [4 per cell]
Sm 0.0000 0.1663 0.5000 [4 per cell]
Y 0.2457 0.3345 0.7408 [8 per cell]
Y 0.2497 0.0000 0.7412 [4 per cell]

Values from the calculation:
M_tot, μB/atom: 0.000
Formation enthalpy at 0 K, meV per atom: 226

***

Entry 4:
A plane-wave DFT calculation with PBE-GGA was carried out for a geometry-optimized SbC2I structure.

Cell lengths 5.9671, 5.9671, 8.5299 Å; angles 90.00, 90.00, 90.00 degrees
Space group I-42d (No. 122)
Inequivalent atoms, fractional coordinates:
Sb 0.0000 0.0000 0.0000 [4 per cell]
C 0.1971 0.2500 0.1250 [8 per cell]
I 0.0000 0.0000 0.5000 [4 per cell]

Values from the calculation:
M_tot, μB/atom: 0.000
E_form (uncorrected), kcal/mol of atoms: 45.59

***

Entry 5:
A plane-wave DFT calculation with PBE-GGA was carried out for a geometry-optimized TeOsPb2 structure.

Cell lengths 4.3258, 4.3258, 5.2009 Å; angles 90.00, 90.00, 90.00 degrees
Space group P4/mmm (No. 123)
Inequivalent atoms, fractional coordinates:
Te 0.0000 0.0000 0.0000 [1 per cell]
Os 0.5000 0.5000 0.0000 [1 per cell]
Pb 0.0000 0.5000 0.5000 [2 per cell]

Values from the calculation:
M_tot, μB/atom: 0.000
E_form (uncorrected), kcal/mol of atoms: 21.05

***

Entry 6:
A plane-wave DFT calculation with PBE-GGA was carried out for a geometry-optimized K5Na3 structure.

Cell lengths 10.2488, 10.2488, 18.0092 Å; angles 90.00, 90.00, 90.00 degrees
Space group I4/mcm (No. 140)
Inequivalent atoms, fractional coordinates:
K 0.0000 0.0000 0.0000 [4 per cell]
K 0.1635 0.3365 0.1520 [16 per cell]
Na 0.0000 0.0000 0.2500 [4 per cell]
Na 0.1266 0.3734 0.5000 [8 per cell]

Values from the calculation:
M_tot, μB/atom: 0.000
Formation enthalpy at 0 K, meV per atom: 25

***

| no. | E_tot (eV per atom) |
| --- | --- |
| 1 | -2.84 |
| 2 | -2.24 |
| 3 | -5.28 |
| 4 | -4.05 |
| 5 | -4.53 |
| 6 | -1.16 |